(1)
The following is a DFT calculation (PBE-GGA) of a relaxed structure of GeSbRuN2.

a b c (Å): 3.8993 3.8993 5.6320
angles (deg): 90.00 90.00 90.00
Space group P4/mmm (No. 123)
Asymmetric unit:
Ge: 0.0000 0.0000 0.0000 x1
Sb: 0.5000 0.5000 0.0000 x1
Ru: 0.5000 0.5000 0.5000 x1
N: 0.0000 0.5000 0.5000 x2

Calculated values
The value obtained for the formation energy without anion corrections is 0.886 eV/atom. Its crystal system is tetragonal.

---

(2)
The following is a DFT calculation (PBE-GGA) of a relaxed structure of Mg2CN.

a b c (Å): 3.2670 5.2422 6.0995
angles (deg): 84.83 75.58 77.33
Space group P1 (No. 1)
Asymmetric unit:
Mg: 0.0000 0.0000 0.0000 x1
Mg: 0.0734 0.4626 0.2418 x1
Mg: 0.2801 0.8962 0.4829 x1
Mg: 0.5375 0.3230 0.6915 x1
C: 0.6665 0.8433 0.7401 x1
C: 0.6948 0.6604 0.9271 x1
N: 0.4910 0.7534 0.1540 x1
N: 0.9218 0.3997 0.9204 x1

Calculated values
For the distance to the lowest polymorph of the same formula, the calculation gives 48 kJ/mol of formula units. The value obtained for the formation energy without anion corrections is -0.080 eV/atom. Its crystal system is triclinic.

---

(3)
The following is a DFT calculation (PBE-GGA) of a relaxed structure of TlIr2Pt.

a b c (Å): 2.9121 2.9121 27.7019
angles (deg): 90.00 90.00 120.00
Space group R3m (No. 160, hexagonal axes)
Asymmetric unit:
Tl: 0.0000 0.0000 0.0000 x3
Ir: 0.0000 0.0000 0.4973 x3
Ir: 0.0000 0.0000 0.7561 x3
Pt: 0.0000 0.0000 0.2436 x3

Calculated values
For the distance to the lowest polymorph of the same formula, the calculation gives 31 kJ/mol of formula units. As for the formation enthalpy at 0 K: 0.40 eV per atom. Its crystal system is trigonal.

---

Number 2 is which compound? Mg2CN